Density functional theory data (PBE) for a geometry-optimized Ta2FeAs structure.

Properties
The value obtained for the size of the total moment is 1.92 μB/f.u. For the formation energy, the calculation gives 15 kJ/mol of atoms.

```
data_Ta2FeAs
_chemical_formula_sum 'Ta6 Fe3 As3'
_cell_length_a 3.1397
_cell_length_b 3.1397
_cell_length_c 23.5976
_cell_angle_alpha 90.00
_cell_angle_beta 90.00
_cell_angle_gamma 120.00
_space_group_name_H-M_alt 'R 3 m'
_space_group_IT_number 160
_space_group_name_Hall 'R 3 -2"'
loop_
_atom_site_label
_atom_site_type_symbol
_atom_site_fract_x
_atom_site_fract_y
_atom_site_fract_z
Ta1 Ta 0.0000 0.0000 0.0000
Ta2 Ta 0.0000 0.0000 0.2389
Fe1 Fe 0.0000 0.0000 0.4926
As1 As 0.0000 0.0000 0.7515
```

---

Density functional theory data (PBE) for a geometry-optimized GaFeAgTe2 structure.

Properties
For the raw formation energy, the calculation gives 0.75 eV per atom. The value obtained for the size of the total moment is 3.27 μB/f.u.

```
data_GaFeAgTe2
_chemical_formula_sum 'Ga1 Fe1 Ag1 Te2'
_cell_length_a 5.400
_cell_length_b 5.400
_cell_length_c 4.570
_cell_angle_alpha 90.00
_cell_angle_beta 90.00
_cell_angle_gamma 90.00
_space_group_name_H-M_alt 'P 4/m m m'
_space_group_IT_number 123
_space_group_name_Hall '-P 4 2'
loop_
_atom_site_label
_atom_site_type_symbol
_atom_site_fract_x
_atom_site_fract_y
_atom_site_fract_z
Ga1 Ga 0.000 0.000 0.000
Fe1 Fe 0.000 0.000 0.500
Ag1 Ag 0.500 0.500 0.500
Te1 Te 0.000 0.500 0.000
```

---

Density functional theory data (PBE) for a geometry-optimized NiWCl structure.

Properties
For the raw formation energy, the calculation gives 0.98 eV per atom. Its energy relative to the lowest polymorph listed for this composition is 691 meV/atom. The value obtained for the size of the total moment is 0.00 μB/f.u.

```
data_NiWCl
_chemical_formula_sum 'Ni4 W4 Cl4'
_cell_length_a 5.809
_cell_length_b 5.809
_cell_length_c 5.809
_cell_angle_alpha 90.00
_cell_angle_beta 90.00
_cell_angle_gamma 90.00
_space_group_name_H-M_alt 'F -4 3 m'
_space_group_IT_number 216
_space_group_name_Hall 'F -4 2 3'
loop_
_atom_site_label
_atom_site_type_symbol
_atom_site_fract_x
_atom_site_fract_y
_atom_site_fract_z
Ni1 Ni 0.000 0.000 0.000
W1 W 0.250 0.250 0.250
Cl1 Cl 0.000 0.000 0.500
```

---

Density functional theory data (PBE) for a geometry-optimized Nd2HoHg structure.

Properties
Its energy relative to the lowest polymorph listed for this composition is 152 meV/atom. The value obtained for the size of the total moment is 0.00 μB/f.u. For the formation energy, the calculation gives -7 kJ/mol of atoms.

```
data_Nd2HoHg
_chemical_formula_sum 'Nd8 Ho4 Hg4'
_cell_length_a 7.812
_cell_length_b 7.812
_cell_length_c 7.812
_cell_angle_alpha 90.00
_cell_angle_beta 90.00
_cell_angle_gamma 90.00
_space_group_name_H-M_alt 'F m -3 m'
_space_group_IT_number 225
_space_group_name_Hall '-F 4 2 3'
loop_
_atom_site_label
_atom_site_type_symbol
_atom_site_fract_x
_atom_site_fract_y
_atom_site_fract_z
Nd1 Nd 0.250 0.250 0.250
Ho1 Ho 0.000 0.000 0.000
Hg1 Hg 0.000 0.000 0.500
```

---

Density functional theory data (PBE) for a geometry-optimized La5Hg2Os2 structure.

Properties
The value obtained for the size of the total moment is 0.00 μB/f.u. For the formation energy, the calculation gives -29 kJ/mol of atoms.

```
data_La5Hg2Os2
_chemical_formula_sum 'La20 Hg8 Os8'
_cell_length_a 16.464
_cell_length_b 7.905
_cell_length_c 8.021
_cell_angle_alpha 90.00
_cell_angle_beta 90.00
_cell_angle_gamma 90.00
_space_group_name_H-M_alt 'C m c e'
_space_group_IT_number 64
_space_group_name_Hall '-C 2ac 2'
loop_
_atom_site_label
_atom_site_type_symbol
_atom_site_fract_x
_atom_site_fract_y
_atom_site_fract_z
La1 La 0.000 0.000 0.000
La2 La 0.116 0.165 0.334
Hg1 Hg 0.215 0.000 0.000
Os1 Os 0.000 0.135 0.635
```

---

Density functional theory data (PBE) for a geometry-optimized Na4Sb2C4SO16 structure.

Properties
For the raw formation energy, the calculation gives -1.47 eV per atom. Its energy relative to the lowest polymorph listed for this composition is 9 meV/atom. The value obtained for the size of the total moment is 0.09 μB/f.u.

```
data_Na4Sb2C4SO16
_chemical_formula_sum 'Na32 Sb16 C32 S8 O128'
_cell_length_a 14.238
_cell_length_b 14.641
_cell_length_c 14.932
_cell_angle_alpha 90.00
_cell_angle_beta 90.00
_cell_angle_gamma 90.00
_space_group_name_H-M_alt 'F 2 2 2'
_space_group_IT_number 22
_space_group_name_Hall 'F 2 2'
loop_
_atom_site_label
_atom_site_type_symbol
_atom_site_fract_x
_atom_site_fract_y
_atom_site_fract_z
Na1 Na 0.000 0.000 0.202
Na2 Na 0.000 0.207 0.000
Na3 Na 0.054 0.250 0.250
Na4 Na 0.207 0.000 0.000
Sb1 Sb 0.130 0.121 0.630
C1 C 0.089 0.086 0.404
C2 C 0.145 0.138 0.836
S1 S 0.000 0.000 0.000
S2 S 0.250 0.250 0.250
O1 O 0.028 0.092 0.339
O2 O 0.061 0.059 0.058
O3 O 0.079 0.195 0.845
O4 O 0.095 0.144 0.466
O5 O 0.147 0.081 0.766
O6 O 0.149 0.016 0.404
O7 O 0.188 0.191 0.192
O8 O 0.212 0.129 0.894
```